# 1
NaCoRh3 | Alexandria | PBE-GGA | optimized geometry; uncorrected energy = -0.194 Ha/atom; SG = Pm-3m (221); volume = 93.52 Å³/f.u.; formation enthalpy at 0 K = 829 meV/atom; density of states at the Fermi level = 5.5 states/eV per cell
1.0
4.539 0.000 0.000
0.000 4.539 0.000
0.000 0.000 4.539
Na Co Rh
1 1 3
direct
0.000 0.000 0.000 Na
0.500 0.500 0.500 Co
0.000 0.500 0.500 Rh
0.500 0.000 0.500 Rh
0.500 0.500 0.000 Rh

# 2
NaCo2Rh2 | Alexandria | PBE-GGA | optimized geometry; uncorrected energy = -0.214 Ha/atom; SG = P4/mbm (127); volume = 73.55 Å³/f.u.; formation enthalpy at 0 K = 215 meV/atom; density of states at the Fermi level = 11.2 states/eV per cell
1.0
7.479 0.000 0.000
0.000 7.479 0.000
0.000 0.000 2.630
Na Co Rh
2 4 4
direct
0.000 0.000 0.000 Na
0.500 0.500 0.000 Na
0.165 0.335 0.500 Co
0.335 0.835 0.500 Co
0.665 0.165 0.500 Co
0.835 0.665 0.500 Co
0.129 0.629 0.000 Rh
0.371 0.129 0.000 Rh
0.629 0.871 0.000 Rh
0.871 0.371 0.000 Rh

# 3
NaCoRh2 | Alexandria | PBE-GGA | optimized geometry; uncorrected energy = -0.196 Ha/atom; SG = Fm-3m (225); volume = 57.45 Å³/f.u.; formation enthalpy at 0 K = 441 meV/atom; density of states at the Fermi level = 3.4 states/eV per cell
1.0
0.000 3.063 3.063
3.063 0.000 3.063
3.063 3.063 0.000
Na Co Rh
1 1 2
direct
0.000 0.000 0.000 Na
0.500 0.500 0.500 Co
0.250 0.250 0.250 Rh
0.750 0.750 0.750 Rh

# 4
Na3CoRh2S6 | Alexandria | PBE-GGA | optimized geometry; uncorrected energy = -0.181 Ha/atom; SG = C2/m (12); volume = 209.78 Å³/f.u.
1.0
3.107 -5.382 0.000
3.107 5.382 0.000
-2.075 0.000 6.273
Na Co Rh S
3 1 2 6
direct
0.000 0.000 0.000 Na
0.330 0.670 0.000 Na
0.670 0.330 0.000 Na
0.500 0.500 0.500 Co
0.167 0.833 0.500 Rh
0.833 0.167 0.500 Rh
0.116 0.438 0.315 S
0.240 0.240 0.685 S
0.438 0.116 0.315 S
0.562 0.884 0.685 S
0.760 0.760 0.315 S
0.884 0.562 0.685 S